A plane-wave DFT calculation with PBE was carried out for a relaxed Re3TeI crystal.

Cell: 4.9234 4.9234 4.9234 Å, 90.00 90.00 90.00°
Space group Pm-3m (No. 221)
Unique sites:
Re 0.0000 0.0000 0.5000 x3
Te 0.0000 0.0000 0.0000 x1
I 0.5000 0.5000 0.5000 x1

Its polymorph energy (0 for the lowest one) is 0.00 eV/f.u. Its formation energy from raw total energies is 2.732 eV per atom. The total DFT energy (no corrections) is -5.675 eV/atom.

=====

A plane-wave DFT calculation with PBE was carried out for a relaxed LaTe2As crystal.

Cell: 4.3201 4.3201 6.4627 Å, 90.00 90.00 90.00°
Space group P4mm (No. 99)
Unique sites:
La 0.0000 0.0000 0.0000 x1
Te 0.0000 0.0000 0.5126 x1
Te 0.5000 0.5000 0.2478 x1
As 0.5000 0.5000 0.8349 x1

Its formation energy from raw total energies is -0.653 eV per atom. The total DFT energy (no corrections) is -4.618 eV/atom.

=====

A plane-wave DFT calculation with PBE was carried out for a relaxed SrSi2P crystal.

Cell: 4.2452 4.5194 4.8647 Å, 90.00 90.00 90.00°
Space group Pmm2 (No. 25)
Unique sites:
Sr 0.0000 0.0000 0.0000 x1
Si 0.0000 0.5000 0.4835 x1
Si 0.5000 0.5000 0.7228 x1
P 0.5000 0.5000 0.1893 x1

Its formation energy from raw total energies is -0.169 eV per atom. The total DFT energy (no corrections) is -4.653 eV/atom.

=====

A plane-wave DFT calculation with PBE was carried out for a relaxed Tc2HgBi crystal.

Cell: 4.1706 4.1706 19.9751 Å, 90.00 90.00 90.00°
Space group I-42d (No. 122)
Unique sites:
Tc 0.1556 0.2500 0.1250 x8
Hg 0.0000 0.0000 0.0000 x4
Bi 0.0000 0.0000 0.5000 x4

Its polymorph energy (0 for the lowest one) is 0.29 eV/f.u. The calculated formation energy comes out at 79.4 kJ/mol of atoms. The total DFT energy (no corrections) is -5.406 eV/atom.

=====

A plane-wave DFT calculation with PBE was carried out for a relaxed Sm4YTm3 crystal.

Cell: 11.3818 7.2851 6.2871 Å, 90.00 90.00 90.00°
Space group Pmn2_1 (No. 31)
Unique sites:
Sm 0.0000 0.1275 0.0000 x2
Sm 0.0000 0.8717 0.5065 x2
Sm 0.2472 0.1271 0.3373 x4
Y 0.0000 0.6228 0.0057 x2
Tm 0.0000 0.3791 0.5043 x2
Tm 0.2500 0.3782 0.8382 x4

Its polymorph energy (0 for the lowest one) is 0.00 eV/f.u. The calculated formation energy comes out at 1.9 kJ/mol of atoms. The total DFT energy (no corrections) is -4.825 eV/atom.

=====

A plane-wave DFT calculation with PBE was carried out for a relaxed Rb2ReIBr6 crystal.

Cell: 8.3584 8.3584 11.8970 Å, 90.00 90.00 90.00°
Space group I4/mmm (No. 139)
Unique sites:
Rb 0.0000 0.5000 0.2500 x4
Re 0.0000 0.0000 0.0000 x2
I 0.0000 0.0000 0.5000 x2
Br 0.0000 0.0000 0.2128 x4
Br 0.2142 0.2142 0.0000 x8

Its formation energy from raw total energies is -0.724 eV per atom. The total DFT energy (no corrections) is -3.321 eV/atom.

=====

A plane-wave DFT calculation with PBE was carried out for a relaxed Rb2HfCuTe4 crystal.

Cell: 6.2522 15.1328 27.1104 Å, 90.00 90.00 90.00°
Space group Fddd (No. 70, origin choice 2)
Unique sites:
Rb 0.1250 0.1250 0.3041 x16
Hf 0.1250 0.1250 0.1250 x8
Cu 0.1250 0.1250 0.6250 x8
Te 0.1136 0.2709 0.8195 x32

Its formation energy from raw total energies is -0.717 eV per atom. The total DFT energy (no corrections) is -4.286 eV/atom.

=====

A plane-wave DFT calculation with PBE was carried out for a relaxed CsCoSiHg2 crystal.

Cell: 5.1571 5.1571 5.5874 Å, 90.00 90.00 90.00°
Space group P4/mmm (No. 123)
Unique sites:
Cs 0.0000 0.0000 0.0000 x1
Co 0.0000 0.0000 0.5000 x1
Si 0.5000 0.5000 0.0000 x1
Hg 0.0000 0.5000 0.5000 x2

Its formation energy from raw total energies is 0.908 eV per atom. The total DFT energy (no corrections) is -1.889 eV/atom.

=====

A plane-wave DFT calculation with PBE was carried out for a relaxed Nd2ZnF crystal.

Cell: 3.3250 3.3250 7.7965 Å, 90.00 90.00 90.00°
Space group P4/mmm (No. 123)
Unique sites:
Nd 0.0000 0.0000 0.2416 x2
Zn 0.5000 0.5000 0.5000 x1
F 0.5000 0.5000 0.0000 x1

Its polymorph energy (0 for the lowest one) is 0.71 eV/f.u. Its formation energy from raw total energies is -1.078 eV per atom. The total DFT energy (no corrections) is -4.248 eV/atom.

=====

A plane-wave DFT calculation with PBE was carried out for a relaxed YSc2ZnIr crystal.

Cell: 4.9648 4.9648 4.7000 Å, 90.00 90.00 90.00°
Space group P4/mmm (No. 123)
Unique sites:
Y 0.0000 0.0000 0.0000 x1
Sc 0.0000 0.5000 0.5000 x2
Zn 0.5000 0.5000 0.5000 x1
Ir 0.5000 0.5000 0.0000 x1

The calculated formation energy comes out at 16.2 kJ/mol of atoms. The total DFT energy (no corrections) is -5.685 eV/atom.

=====

A plane-wave DFT calculation with PBE was carried out for a relaxed RbPH crystal.

Cell: 3.2109 4.9453 4.1599 Å, 90.00 90.00 90.00°
Space group Pmm2 (No. 25)
Unique sites:
Rb 0.0000 0.0000 0.0000 x1
P 0.5000 0.5000 0.4802 x1
H 0.5000 0.5000 0.8275 x1

Its polymorph energy (0 for the lowest one) is 0.79 eV/f.u. The total DFT energy (no corrections) is -3.300 eV/atom.

=====

A plane-wave DFT calculation with PBE was carried out for a relaxed BaTe3Au3 crystal.

Cell: 7.7644 7.7644 7.7644 Å, 90.00 90.00 90.00°
Space group Pm-3n (No. 223)
Unique sites:
Ba 0.0000 0.0000 0.0000 x2
Te 0.0000 0.2500 0.5000 x6
Au 0.0000 0.5000 0.2500 x6

Its formation energy from raw total energies is -0.428 eV per atom. The total DFT energy (no corrections) is -3.453 eV/atom.

=====

| no. | volume (Å³/cell) |
| --- | --- |
| 1 | 119.3 |
| 2 | 120.6 |
| 3 | 93.3 |
| 4 | 347.4 |
| 5 | 521.3 |
| 6 | 831.2 |
| 7 | 2565.0 |
| 8 | 148.6 |
| 9 | 86.2 |
| 10 | 115.8 |
| 11 | 66.1 |
| 12 | 468.1 |